Entry 1:
Compound: AcSmPtPb
Source: Alexandria
Functional: GGA-PBE
Structure: relaxed

Lattice parameters (Å, degrees): 5.471 5.471 5.471 60.00 60.00 60.00
Atoms (fractional coordinates):
Pt1 0.750 0.750 0.750
Pb1 0.250 0.250 0.250
Sm1 0.500 0.500 0.500
Ac1 0.000 0.000 0.000

Values from the calculation:
ρ   11.182 g/cm³
ΔH_f (0 K)   -639 meV per atom
Size of the total moment   0.0 μB/cell

=====

Entry 2:
Compound: Ac2SnPt6Pb
Source: Alexandria
Functional: GGA-PBE
Structure: relaxed

Lattice parameters (Å, degrees): 7.187 6.965 9.195 50.52 48.44 80.78
Atoms (fractional coordinates):
Sn1 0.000 0.000 0.000
Pt1 0.249 0.750 0.839
Pb1 0.500 0.500 0.000
Pt2 0.751 0.250 0.161
Pt3 0.752 0.751 0.003
Ac1 0.252 0.748 0.458
Pt4 0.250 0.249 0.506
Ac2 0.748 0.252 0.542
Pt5 0.248 0.249 0.997
Pt6 0.750 0.751 0.494

Values from the calculation:
ρ   13.666 g/cm³
ΔH_f (0 K)   -682 meV per atom
Size of the total moment   0.0 μB/cell

=====

Entry 3:
Compound: AcTbPtPb
Source: Alexandria
Functional: GGA-PBE
Structure: relaxed

Lattice parameters (Å, degrees): 5.437 5.437 5.437 60.00 60.00 60.00
Atoms (fractional coordinates):
Pt1 0.750 0.750 0.750
Tb1 0.000 0.000 0.000
Pb1 0.250 0.250 0.250
Ac1 0.500 0.500 0.500

Values from the calculation:
ρ   11.516 g/cm³
ΔH_f (0 K)   -640 meV per atom
Size of the total moment   0.0 μB/cell

=====

Entry 4:
Compound: Ac8Te4Pt3Pb
Source: Alexandria
Functional: GGA-PBE
Structure: relaxed

Lattice parameters (Å, degrees): 9.111 9.619 9.111 118.27 120.00 90.00
Atoms (fractional coordinates):
Pb1 0.000 0.500 0.000
Ac1 0.249 0.722 0.497
Te1 0.000 0.000 0.500
Te2 0.000 0.000 0.000
Te3 0.500 0.000 0.000
Ac2 0.262 0.287 0.525
Ac3 0.751 0.278 0.027
Ac4 0.751 0.278 0.503
Pt1 0.000 0.500 0.500
Ac5 0.275 0.278 0.027
Ac6 0.249 0.722 0.973
Pt2 0.500 0.500 0.000
Ac7 0.725 0.722 0.973
Ac8 0.738 0.713 0.475
Pt3 0.500 0.500 0.500
Te4 0.500 0.000 0.500

Values from the calculation:
ρ   8.947 g/cm³
Formation energy from raw total energies   -19.67 eV per formula unit
Size of the total moment   0.0 μB/cell

=====

- Which value of size of the total moment does entry 2 give?
  0.0 μB/cell